No. 1
Computed, not measured: a relaxed SmSiNiGe2 crystal at the GGA-PBE level of DFT.

Properties
SG: Cmmm
E (eV/atom): -5.61
Total moment (μB/cell): 0.00

Lattice parameters (Å, degrees): 10.9692 10.9692 4.1231 90.00 90.00 158.61
Fractional coordinates of all 10 atoms:
Sm1 0.1712 0.8288 0.0000
Sm2 0.8288 0.1712 0.0000
Si1 0.2812 0.7188 0.5000
Si2 0.7188 0.2812 0.5000
Ni1 0.3862 0.6138 0.5000
Ni2 0.6138 0.3862 0.5000
Ge1 0.0578 0.9422 0.5000
Ge2 0.4421 0.5579 0.0000
Ge3 0.5579 0.4421 0.0000
Ge4 0.9422 0.0578 0.5000


No. 2
Computed, not measured: a relaxed TbNpNi crystal at the GGA-PBE level of DFT.

Properties
SG: F-43m
E (eV/atom): -6.97
Total moment (μB/cell): 0.29
Formation energy (eV per formula unit): 2.07

Lattice parameters (Å, degrees): 6.6098 6.6098 6.6098 90.00 90.00 90.00
Fractional coordinates of all 12 atoms:
Tb1 0.0000 0.0000 0.0000
Tb2 0.0000 0.5000 0.5000
Tb3 0.5000 0.0000 0.5000
Tb4 0.5000 0.5000 0.0000
Np1 0.0000 0.0000 0.5000
Np2 0.0000 0.5000 0.0000
Np3 0.5000 0.0000 0.0000
Np4 0.5000 0.5000 0.5000
Ni1 0.2500 0.2500 0.2500
Ni2 0.2500 0.7500 0.7500
Ni3 0.7500 0.2500 0.7500
Ni4 0.7500 0.7500 0.2500


No. 3
Computed, not measured: a relaxed PrZrPb crystal at the GGA-PBE level of DFT.

Properties
SG: F-43m
E (eV/atom): -5.01
Total moment (μB/cell): 11.63
Excess energy over the best structure of this formula in the dataset (meV/atom): 589

Lattice parameters (Å, degrees): 7.4364 7.4364 7.4364 90.00 90.00 90.00
Fractional coordinates of all 12 atoms:
Pr1 0.0000 0.0000 0.0000
Pr2 0.0000 0.5000 0.5000
Pr3 0.5000 0.0000 0.5000
Pr4 0.5000 0.5000 0.0000
Zr1 0.2500 0.2500 0.2500
Zr2 0.2500 0.7500 0.7500
Zr3 0.7500 0.2500 0.7500
Zr4 0.7500 0.7500 0.2500
Pb1 0.2500 0.2500 0.7500
Pb2 0.2500 0.7500 0.2500
Pb3 0.7500 0.2500 0.2500
Pb4 0.7500 0.7500 0.7500


No. 4
Computed, not measured: a relaxed HfPtNO crystal at the GGA-PBE level of DFT.

Properties
SG: P4/nmm
E (eV/atom): -8.21
Total moment (μB/cell): 0.00
Excess energy over the best structure of this formula in the dataset (meV/atom): 515

Lattice parameters (Å, degrees): 3.5483 3.5483 7.4818 90.00 90.00 90.00
Fractional coordinates of all 8 atoms:
Hf1 0.2500 0.2500 0.1657
Hf2 0.7500 0.7500 0.8343
Pt1 0.2500 0.7500 0.5000
Pt2 0.7500 0.2500 0.5000
N1 0.2500 0.2500 0.7366
N2 0.7500 0.7500 0.2634
O1 0.2500 0.7500 0.0000
O2 0.7500 0.2500 0.0000